Entry from Alexandria: crystalline LiZrHg2 at its relaxed geometry (GGA-PBE).

CIF file:
```
data_LiZrHg2
_cell_length_a 4.471
_cell_length_b 4.471
_cell_length_c 8.017
_cell_angle_alpha 90.00
_cell_angle_beta 90.00
_cell_angle_gamma 90.00
_space_group_name_H-M_alt 'P 1'
_space_group_IT_number 1
_space_group_name_Hall 'P 1'
loop_
_atom_site_label
_atom_site_type_symbol
_atom_site_fract_x
_atom_site_fract_y
_atom_site_fract_z
Li1 Li 0.000 0.000 0.000
Li2 Li 0.500 0.500 0.500
Zr1 Zr 0.000 0.500 0.750
Zr2 Zr 0.500 0.000 0.250
Hg1 Hg 0.000 0.000 0.500
Hg2 Hg 0.000 0.500 0.250
Hg3 Hg 0.500 0.000 0.750
Hg4 Hg 0.500 0.500 0.000
```

**Formation enthalpy at 0 K**: -8.9 meV per atom
**DOS(E_F)**: 5.6 states/eV per cell
**E_tot**: -2.78 eV per atom
**Space group**: No. 119

---

Entry from Alexandria: crystalline TcNiHW2 at its relaxed geometry (GGA-PBE).

CIF file:
```
data_TcNiHW2
_cell_length_a 3.995
_cell_length_b 3.995
_cell_length_c 3.748
_cell_angle_alpha 90.00
_cell_angle_beta 90.00
_cell_angle_gamma 90.00
_space_group_name_H-M_alt 'P 1'
_space_group_IT_number 1
_space_group_name_Hall 'P 1'
loop_
_atom_site_label
_atom_site_type_symbol
_atom_site_fract_x
_atom_site_fract_y
_atom_site_fract_z
Tc1 Tc 0.000 0.000 0.000
Ni1 Ni 0.500 0.500 0.000
H1 H 0.500 0.500 0.500
W1 W 0.000 0.500 0.500
W2 W 0.500 0.000 0.500
```

**DOS(E_F)**: 2.8 states/eV per cell
**E_tot**: -9.00 eV per atom
**ΔE to the lowest computed polymorph**: 0.0000 eV/atom
**Space group**: No. 123